Entry 1:
VASP calculation (GGA-PBE) on an optimized crystal structure of YMgTe2.

## Properties
Formation energy from raw total energies ... -814 meV per atom
Energy relative to the lowest polymorph listed for this composition ... 1.03 eV/f.u.

Lattice parameters (Å, degrees): 4.3704 4.3704 27.3527 90.00 90.00 120.00
Space group P3_221 (No. 154)
Inequivalent atoms, fractional coordinates:
Y: 0.0000 0.6707 0.3333 (multiplicity 3)
Mg: 0.0000 0.6622 0.8333 (multiplicity 3)
Te: 0.0042 0.6668 0.7310 (multiplicity 6)



Entry 2:
VASP calculation (GGA-PBE) on an optimized crystal structure of ReRuRh2.

## Properties
Formation enthalpy at 0 K ... 1.21 eV per atom
Energy relative to the lowest polymorph listed for this composition ... 5.15 eV/f.u.

Lattice parameters (Å, degrees): 6.7701 3.9067 6.7707 90.00 109.70 90.00
Space group Cm (No. 8)
Inequivalent atoms, fractional coordinates:
Re: 0.0000 0.0000 0.0000 (multiplicity 2)
Ru: 0.4951 0.0000 0.4865 (multiplicity 2)
Rh: 0.1208 0.5000 0.8640 (multiplicity 2)
Rh: 0.1236 0.0000 0.3731 (multiplicity 2)



Entry 3:
VASP calculation (GGA-PBE) on an optimized crystal structure of LiSn5Au4.

## Properties
Formation enthalpy at 0 K ... -0.20 eV per atom
Energy relative to the lowest polymorph listed for this composition ... 0.00 eV/f.u.

Lattice parameters (Å, degrees): 15.9238 4.5515 6.6852 90.00 97.92 90.00
Space group C2/m (No. 12)
Inequivalent atoms, fractional coordinates:
Li: 0.0000 0.0000 0.0000 (multiplicity 2)
Sn: 0.0000 0.0000 0.5000 (multiplicity 2)
Sn: 0.1574 0.5000 0.9801 (multiplicity 4)
Sn: 0.1736 0.5000 0.4861 (multiplicity 4)
Au: 0.0217 0.5000 0.2237 (multiplicity 4)
Au: 0.1782 0.0000 0.7461 (multiplicity 4)



| no. | total magnetization (μB/cell) |
| --- | --- |
| 1 | 0.8 |
| 2 | 0.0 |
| 3 | 0.0 |